The following is a DFT calculation (SCAN) of a PBEsol-optimized structure of NaIn2Bi2.

## Properties
* ΔE to the lowest computed polymorph: 0.00 kcal/mol of atoms
* raw total energy: -228.65 eV per cell
* ΔH_f (0 K): -0.50 eV/f.u.
* size of the total moment: 0.00 μB per formula unit

abc: 4.767 4.767 7.985
angles: 107.37 107.37 90.00
Fractional coordinates of all 5 atoms:
Na: 0.000 0.000 0.000
Bi: 0.385 0.385 0.771
Bi: 0.615 0.615 0.229
In: 0.250 0.750 0.500
In: 0.750 0.250 0.500



The following is a DFT calculation (SCAN) of a PBEsol-optimized structure of Mg2ZrCu.

## Properties
* raw total energy: -55.45 eV per cell
* ΔH_f (0 K): 0.39 eV/f.u.
* size of the total moment: 0.00 μB per formula unit

abc: 3.388 4.840 5.478
angles: 116.22 108.02 90.00
Fractional coordinates of all 4 atoms:
Cu: 0.253 0.753 0.505
Mg: 0.970 0.970 0.941
Mg: 0.748 0.248 0.495
Zr: 0.529 0.529 0.059



The following is a DFT calculation (SCAN) of a PBEsol-optimized structure of AlCdCuAu2.

## Properties
* raw total energy: -189.34 eV per cell
* ΔH_f (0 K): 2.34 eV/f.u.
* size of the total moment: 0.00 μB per formula unit

abc: 4.704 4.744 4.744
angles: 90.00 90.00 90.00
Fractional coordinates of all 5 atoms:
Au: 0.000 0.000 0.500
Au: 0.000 0.500 0.000
Al: 0.500 0.500 0.500
Cu: 0.000 0.000 0.000
Cd: 0.500 0.000 0.000



The following is a DFT calculation (SCAN) of a PBEsol-optimized structure of KNbAl2.

## Properties
* raw total energy: -53.74 eV per cell
* ΔH_f (0 K): 3.22 eV/f.u.
* size of the total moment: 0.00 μB per formula unit

abc: 4.874 4.874 4.874
angles: 60.00 60.00 60.00
Fractional coordinates of all 4 atoms:
Nb: 0.500 0.500 0.500
K: 0.000 0.000 0.000
Al: 0.250 0.250 0.250
Al: 0.750 0.750 0.750



The following is a DFT calculation (SCAN) of a PBEsol-optimized structure of Tl2CdTc.

## Properties
* ΔE to the lowest computed polymorph: 2.96 kcal/mol of atoms
* raw total energy: -207.78 eV per cell
* ΔH_f (0 K): 2.41 eV/f.u.
* size of the total moment: 0.01 μB per formula unit

abc: 3.692 3.686 5.926
angles: 90.00 90.00 90.00
Fractional coordinates of all 4 atoms:
Cd: 0.000 0.000 0.512
Tc: 0.500 0.500 0.753
Tl: 0.000 0.000 0.973
Tl: 0.500 0.500 0.262



The following is a DFT calculation (SCAN) of a PBEsol-optimized structure of RbCa2InH.

## Properties
* raw total energy: -76.50 eV per cell
* size of the total moment: 1.12 μB per formula unit

abc: 5.432 5.432 4.766
angles: 90.00 90.00 90.00
Fractional coordinates of all 5 atoms:
H: 0.000 0.000 0.000
Ca: 0.000 0.500 0.000
Ca: 0.500 0.000 0.000
Rb: 0.500 0.500 0.500
In: 0.000 0.000 0.500



The following is a DFT calculation (SCAN) of a PBEsol-optimized structure of Ag2IrI.

## Properties
* uncorrected formation energy: 1.08 eV per atom
* raw total energy: -166.24 eV per cell
* size of the total moment: 0.00 μB per formula unit

abc: 4.727 4.727 4.727
angles: 60.00 60.00 60.00
Fractional coordinates of all 4 atoms:
I: 0.000 0.000 0.000
Ir: 0.500 0.500 0.500
Ag: 0.250 0.250 0.250
Ag: 0.750 0.750 0.750



The following is a DFT calculation (SCAN) of a PBEsol-optimized structure of TiTcI2.

## Properties
* uncorrected formation energy: 0.71 eV per atom
* raw total energy: -121.72 eV per cell
* size of the total moment: 0.00 μB per formula unit

abc: 4.735 4.735 4.735
angles: 60.00 60.00 60.00
Fractional coordinates of all 4 atoms:
I: 0.250 0.250 0.250
I: 0.750 0.750 0.750
Tc: 0.500 0.500 0.500
Ti: 0.000 0.000 0.000



The following is a DFT calculation (SCAN) of a PBEsol-optimized structure of Sr2ScBr.

## Properties
* uncorrected formation energy: -0.33 eV per atom
* ΔE to the lowest computed polymorph: 0.00 kcal/mol of atoms
* raw total energy: -79.56 eV per cell
* size of the total moment: 2.16 μB per formula unit

abc: 3.881 6.866 6.758
angles: 119.18 90.00 106.42
Fractional coordinates of all 4 atoms:
Br: 0.500 0.000 0.000
Sc: 0.000 0.000 0.500
Sr: 0.790 0.580 0.789
Sr: 0.210 0.420 0.211



The following is a DFT calculation (SCAN) of a PBEsol-optimized structure of CuTe.

## Properties
* uncorrected formation energy: -0.02 eV per atom
* raw total energy: -104.99 eV per cell
* size of the total moment: 0.00 μB per formula unit

abc: 3.969 3.969 7.044
angles: 90.00 90.00 120.00
Fractional coordinates of all 4 atoms:
Te: 0.667 0.333 0.638
Te: 0.333 0.667 0.138
Cu: 0.667 0.333 0.991
Cu: 0.333 0.667 0.491



The following is a DFT calculation (SCAN) of a PBEsol-optimized structure of InAg2Te.

## Properties
* uncorrected formation energy: 0.07 eV per atom
* ΔE to the lowest computed polymorph: 0.00 kcal/mol of atoms
* raw total energy: -133.08 eV per cell
* size of the total moment: 0.00 μB per formula unit

abc: 3.907 3.907 5.708
angles: 90.00 90.00 90.00
Fractional coordinates of all 4 atoms:
Te: 0.500 0.500 0.757
Ag: 0.000 0.000 0.010
Ag: 0.500 0.500 0.244
In: 0.000 0.000 0.490



The following is a DFT calculation (SCAN) of a PBEsol-optimized structure of Al5Ag7.

## Properties
* ΔE to the lowest computed polymorph: 0.31 kcal/mol of atoms
* raw total energy: -259.31 eV per cell
* ΔH_f (0 K): -0.98 eV/f.u.
* size of the total moment: 0.01 μB per formula unit

abc: 5.706 5.706 6.300
angles: 103.96 103.96 90.07
Fractional coordinates of all 12 atoms:
Al: 0.321 0.321 0.841
Al: 0.500 0.000 0.500
Al: 0.679 0.679 0.159
Al: 0.000 0.500 0.500
Al: 0.500 0.500 0.500
Ag: 0.817 0.335 0.826
Ag: 0.000 0.000 0.500
Ag: 0.183 0.665 0.174
Ag: 0.828 0.828 0.823
Ag: 0.172 0.172 0.177
Ag: 0.335 0.817 0.826
Ag: 0.665 0.183 0.174



The following is a DFT calculation (SCAN) of a PBEsol-optimized structure of P2OsAuS.

## Properties
* uncorrected formation energy: 0.86 eV per atom
* raw total energy: -167.16 eV per cell
* size of the total moment: 0.00 μB per formula unit

abc: 4.412 4.412 5.009
angles: 90.00 90.00 90.00
Fractional coordinates of all 5 atoms:
Os: 0.000 0.000 0.000
S: 0.000 0.000 0.500
Au: 0.500 0.500 0.500
P: 0.000 0.500 0.000
P: 0.500 0.000 0.000



The following is a DFT calculation (SCAN) of a PBEsol-optimized structure of SrCa2Re.

## Properties
* ΔE to the lowest computed polymorph: 0.00 kcal/mol of atoms
* raw total energy: -109.16 eV per cell
* ΔH_f (0 K): 3.54 eV/f.u.
* size of the total moment: 0.86 μB per formula unit

abc: 5.297 5.297 5.297
angles: 60.00 60.00 60.00
Fractional coordinates of all 4 atoms:
Re: 0.000 0.000 0.000
Ca: 0.750 0.750 0.750
Ca: 0.250 0.250 0.250
Sr: 0.500 0.500 0.500



The following is a DFT calculation (SCAN) of a PBEsol-optimized structure of MgTaHg2.

## Properties
* raw total energy: -207.27 eV per cell
* ΔH_f (0 K): 0.62 eV/f.u.
* size of the total moment: 0.00 μB per formula unit

abc: 2.963 4.053 6.340
angles: 90.00 89.93 90.00
Fractional coordinates of all 4 atoms:
Hg: 0.000 0.000 0.749
Hg: 0.000 0.000 0.251
Mg: 0.500 0.500 0.000
Ta: 0.500 0.500 0.500



The following is a DFT calculation (SCAN) of a PBEsol-optimized structure of AlP2Cl.

## Properties
* uncorrected formation energy: 0.33 eV per atom
* ΔE to the lowest computed polymorph: 13.93 kcal/mol of atoms
* raw total energy: -35.21 eV per cell
* size of the total moment: 0.00 μB per formula unit

abc: 3.458 3.458 5.734
angles: 90.00 90.00 90.00
Fractional coordinates of all 4 atoms:
P: 0.000 0.500 0.000
P: 0.500 0.000 0.000
Al: 0.500 0.500 0.500
Cl: 0.000 0.000 0.500



The following is a DFT calculation (SCAN) of a PBEsol-optimized structure of CrBr4.

## Properties
* uncorrected formation energy: -0.26 eV per atom
* raw total energy: -97.54 eV per cell
* size of the total moment: 2.13 μB per formula unit

abc: 3.132 6.541 6.541
angles: 86.71 76.15 76.15
Fractional coordinates of all 5 atoms:
Br: 0.549 0.185 0.716
Br: 0.735 0.716 0.815
Br: 0.451 0.815 0.284
Br: 0.265 0.284 0.185
Cr: 0.000 0.000 0.000



The following is a DFT calculation (SCAN) of a PBEsol-optimized structure of AlAsOs.

## Properties
* ΔE to the lowest computed polymorph: 12.52 kcal/mol of atoms
* raw total energy: -98.49 eV per cell
* ΔH_f (0 K): 1.34 eV/f.u.
* size of the total moment: 0.00 μB per formula unit

abc: 4.109 4.109 4.109
angles: 60.00 60.00 60.00
Fractional coordinates of all 3 atoms:
As: 0.250 0.250 0.250
Os: 0.000 0.000 0.000
Al: 0.500 0.500 0.500



The following is a DFT calculation (SCAN) of a PBEsol-optimized structure of Li2GaSi.

## Properties
* uncorrected formation energy: -0.14 eV per atom
* raw total energy: -31.68 eV per cell
* size of the total moment: 0.00 μB per formula unit

abc: 4.304 4.304 4.304
angles: 60.00 60.00 60.00
Fractional coordinates of all 4 atoms:
Si: 0.000 0.000 0.000
Ga: 0.500 0.500 0.500
Li: 0.250 0.250 0.250
Li: 0.750 0.750 0.750



The following is a DFT calculation (SCAN) of a PBEsol-optimized structure of ErHO2.

## Properties
* raw total energy: -155.99 eV per cell
* size of the total moment: 0.00 μB per formula unit

abc: 3.553 4.241 5.846
angles: 109.17 90.00 90.00
Fractional coordinates of all 8 atoms:
H: 0.750 0.489 0.580
H: 0.250 0.511 0.420
O: 0.750 0.267 0.053
O: 0.250 0.733 0.947
O: 0.750 0.251 0.562
O: 0.250 0.749 0.438
Er: 0.750 0.833 0.189
Er: 0.250 0.167 0.811



no.,D(E_F) (states/eV per cell)
1,1.86
2,2.67
3,1.71
4,3.53
5,3.12
6,1.90
7,2.67
8,4.09
9,2.83
10,2.49
11,1.23
12,3.34
13,4.25
14,4.11
15,2.39
16,1.99
17,2.96
18,2.28
19,0.92
20,0.00